Computed, not measured: a relaxed BaHoV2O8 crystal at the PBE+U level of DFT.

a = 5.777 Å, b = 5.777 Å, c = 7.641 Å
α = 90.00°, β = 90.00°, γ = 120.00°
Element x y z (fractional)
Ba  0.000  0.000  0.000
Ho  0.000  0.000  0.500
V  0.333  0.667  0.766
V  0.667  0.333  0.234
O  0.166  0.334  0.694
O  0.169  0.834  0.694
O  0.333  0.667  0.989
O  0.334  0.169  0.306
O  0.666  0.831  0.694
O  0.667  0.333  0.011
O  0.831  0.166  0.306
O  0.834  0.666  0.306

Values from the calculation:
uncorrected energy	-89.5	eV/cell
space group	No. 147
spin magnetization	0.09	μB per atom